[1]
# Mg2AlCl (SCAN, single point on PBEsol structure)
data_Mg2AlCl
_chemical_formula_sum 'Mg2 Al1 Cl1'
_symmetry_space_group_name_H-M 'P 1'
_symmetry_Int_Tables_number 1
_symmetry_space_group_name_Hall 'P 1'
_cell_length_a 5.0679
_cell_length_b 5.0679
_cell_length_c 5.0679
_cell_angle_alpha 60.00
_cell_angle_beta 60.00
_cell_angle_gamma 60.00
loop_
_atom_site_label
_atom_site_type_symbol
_atom_site_fract_x
_atom_site_fract_y
_atom_site_fract_z
_atom_site_occupancy
Al1 Al 0.5000 0.5000 0.5000 1
Cl1 Cl 0.7500 0.7500 0.7500 1
Mg1 Mg 0.0000 0.0000 0.0000 1
Mg2 Mg 0.2500 0.2500 0.2500 1
# E (eV/atom): -6.264
# Total magnetic moment (μB/cell): 0.000
# Offset from the most stable computed form (meV per atom): 647

[2]
# BeIrS2 (SCAN, single point on PBEsol structure)
data_BeIrS2
_chemical_formula_sum 'Be2 Ir2 S4'
_symmetry_space_group_name_H-M 'P 1'
_symmetry_Int_Tables_number 1
_symmetry_space_group_name_Hall 'P 1'
_cell_length_a 5.0269
_cell_length_b 5.0269
_cell_length_c 6.1162
_cell_angle_alpha 114.26
_cell_angle_beta 114.26
_cell_angle_gamma 90.00
loop_
_atom_site_label
_atom_site_type_symbol
_atom_site_fract_x
_atom_site_fract_y
_atom_site_fract_z
_atom_site_occupancy
Be1 Be 0.7500 0.2500 0.5000 1
Be2 Be 0.5000 0.5000 0.0000 1
S1 S 0.4084 0.8750 0.2500 1
S2 S 0.8416 0.3750 0.2500 1
S3 S 0.1250 0.1584 0.7500 1
S4 S 0.6250 0.5916 0.7500 1
Ir1 Ir 0.2500 0.7500 0.5000 1
Ir2 Ir 0.0000 0.0000 0.0000 1
# E (eV/atom): -24.089
# Total magnetic moment (μB/cell): 0.000

[3]
# CdTcO2F (SCAN, single point on PBEsol structure)
data_CdTcO2F
_chemical_formula_sum 'Cd1 Tc1 O2 F1'
_symmetry_space_group_name_H-M 'P 1'
_symmetry_Int_Tables_number 1
_symmetry_space_group_name_Hall 'P 1'
_cell_length_a 3.8156
_cell_length_b 3.8156
_cell_length_c 4.2680
_cell_angle_alpha 90.00
_cell_angle_beta 90.00
_cell_angle_gamma 90.00
loop_
_atom_site_label
_atom_site_type_symbol
_atom_site_fract_x
_atom_site_fract_y
_atom_site_fract_z
_atom_site_occupancy
F1 F 0.0000 0.0000 0.5000 1
Tc1 Tc 0.0000 0.0000 0.0000 1
O1 O 0.0000 0.5000 0.0000 1
O2 O 0.5000 0.0000 0.0000 1
Cd1 Cd 0.5000 0.5000 0.5000 1
# E (eV/atom): -17.521
# Total magnetic moment (μB/cell): 0.000

[4]
# LiTaHg3 (SCAN, single point on PBEsol structure)
data_LiTaHg3
_chemical_formula_sum 'Li1 Ta1 Hg3'
_symmetry_space_group_name_H-M 'P 1'
_symmetry_Int_Tables_number 1
_symmetry_space_group_name_Hall 'P 1'
_cell_length_a 4.5285
_cell_length_b 4.5285
_cell_length_c 4.5285
_cell_angle_alpha 90.00
_cell_angle_beta 90.00
_cell_angle_gamma 90.00
loop_
_atom_site_label
_atom_site_type_symbol
_atom_site_fract_x
_atom_site_fract_y
_atom_site_fract_z
_atom_site_occupancy
Li1 Li 0.0000 0.0000 0.0000 1
Hg1 Hg 0.0000 0.5000 0.0000 1
Hg2 Hg 0.0000 0.0000 0.5000 1
Hg3 Hg 0.5000 0.0000 0.0000 1
Ta1 Ta 0.5000 0.5000 0.5000 1
# Calculated formation energy (kJ/mol of atoms): 71.3
# E (eV/atom): -53.955
# Total magnetic moment (μB/cell): 0.000

[5]
# RbCd3Ir (SCAN, single point on PBEsol structure)
data_RbCd3Ir
_chemical_formula_sum 'Rb1 Cd3 Ir1'
_symmetry_space_group_name_H-M 'P 1'
_symmetry_Int_Tables_number 1
_symmetry_space_group_name_Hall 'P 1'
_cell_length_a 5.2170
_cell_length_b 5.2170
_cell_length_c 5.2170
_cell_angle_alpha 90.00
_cell_angle_beta 90.00
_cell_angle_gamma 90.00
loop_
_atom_site_label
_atom_site_type_symbol
_atom_site_fract_x
_atom_site_fract_y
_atom_site_fract_z
_atom_site_occupancy
Ir1 Ir 0.0000 0.0000 0.0000 1
Rb1 Rb 0.5000 0.5000 0.5000 1
Cd1 Cd 0.0000 0.5000 0.0000 1
Cd2 Cd 0.0000 0.0000 0.5000 1
Cd3 Cd 0.5000 0.0000 0.0000 1
# Calculated formation energy (kJ/mol of atoms): -3.4
# E (eV/atom): -36.652
# Total magnetic moment (μB/cell): 0.000

[6]
# NdIn7Cu5 (SCAN, single point on PBEsol structure)
data_NdIn7Cu5
_chemical_formula_sum 'Nd1 In7 Cu5'
_symmetry_space_group_name_H-M 'P 1'
_symmetry_Int_Tables_number 1
_symmetry_space_group_name_Hall 'P 1'
_cell_length_a 5.5366
_cell_length_b 7.1341
_cell_length_c 7.1341
_cell_angle_alpha 81.59
_cell_angle_beta 67.17
_cell_angle_gamma 67.17
loop_
_atom_site_label
_atom_site_type_symbol
_atom_site_fract_x
_atom_site_fract_y
_atom_site_fract_z
_atom_site_occupancy
Nd1 Nd 0.9998 0.0002 0.0002 1
In1 In 0.6543 0.3457 0.3457 1
In2 In 0.3377 0.6623 0.6623 1
In3 In 0.9867 0.3532 0.6733 1
In4 In 0.9867 0.6733 0.3532 1
In5 In 0.2700 0.2300 0.2300 1
In6 In 0.5137 0.7916 0.1810 1
In7 In 0.5137 0.1810 0.7916 1
Cu1 Cu 0.4932 0.9930 0.5055 1
Cu2 Cu 0.0083 0.9930 0.5055 1
Cu3 Cu 0.4932 0.5055 0.9930 1
Cu4 Cu 0.0083 0.5055 0.9930 1
Cu5 Cu 0.7342 0.7658 0.7658 1
# Calculated formation energy (kJ/mol of atoms): -13.9
# E (eV/atom): -27.320
# Total magnetic moment (μB/cell): 0.000

[7]
# RbTaOs3 (SCAN, single point on PBEsol structure)
data_RbTaOs3
_chemical_formula_sum 'Rb1 Ta1 Os3'
_symmetry_space_group_name_H-M 'P 1'
_symmetry_Int_Tables_number 1
_symmetry_space_group_name_Hall 'P 1'
_cell_length_a 4.8563
_cell_length_b 4.8563
_cell_length_c 4.8563
_cell_angle_alpha 90.00
_cell_angle_beta 90.00
_cell_angle_gamma 90.00
loop_
_atom_site_label
_atom_site_type_symbol
_atom_site_fract_x
_atom_site_fract_y
_atom_site_fract_z
_atom_site_occupancy
Os1 Os 0.0000 0.5000 0.0000 1
Os2 Os 0.0000 0.0000 0.5000 1
Os3 Os 0.5000 0.0000 0.0000 1
Rb1 Rb 0.5000 0.5000 0.5000 1
Ta1 Ta 0.0000 0.0000 0.0000 1
# Calculated formation energy (kJ/mol of atoms): 201.5
# E (eV/atom): -58.504
# Total magnetic moment (μB/cell): 2.344

[8]
# MgCu2Au (SCAN, single point on PBEsol structure)
data_MgCu2Au
_chemical_formula_sum 'Mg1 Cu2 Au1'
_symmetry_space_group_name_H-M 'P 1'
_symmetry_Int_Tables_number 1
_symmetry_space_group_name_Hall 'P 1'
_cell_length_a 3.8434
_cell_length_b 3.8434
_cell_length_c 4.6840
_cell_angle_alpha 114.22
_cell_angle_beta 114.22
_cell_angle_gamma 90.00
loop_
_atom_site_label
_atom_site_type_symbol
_atom_site_fract_x
_atom_site_fract_y
_atom_site_fract_z
_atom_site_occupancy
Mg1 Mg 0.5000 0.5000 0.0000 1
Au1 Au 0.2500 0.7500 0.5000 1
Cu1 Cu 0.0000 0.0000 0.0000 1
Cu2 Cu 0.7500 0.2500 0.5000 1
# Calculated formation energy (kJ/mol of atoms): -27.2
# E (eV/atom): -26.414
# Total magnetic moment (μB/cell): 0.000

[9]
# SrMo2Os (SCAN, single point on PBEsol structure)
data_SrMo2Os
_chemical_formula_sum 'Sr1 Mo2 Os1'
_symmetry_space_group_name_H-M 'P 1'
_symmetry_Int_Tables_number 1
_symmetry_space_group_name_Hall 'P 1'
_cell_length_a 2.9802
_cell_length_b 4.7759
_cell_length_c 4.7759
_cell_angle_alpha 90.00
_cell_angle_beta 90.00
_cell_angle_gamma 90.00
loop_
_atom_site_label
_atom_site_type_symbol
_atom_site_fract_x
_atom_site_fract_y
_atom_site_fract_z
_atom_site_occupancy
Mo1 Mo 0.0000 0.0000 0.5000 1
Mo2 Mo 0.0000 0.5000 0.0000 1
Os1 Os 0.5000 0.5000 0.5000 1
Sr1 Sr 0.5000 0.0000 0.0000 1
# Calculated formation energy (kJ/mol of atoms): 121.5
# E (eV/atom): -39.722
# Total magnetic moment (μB/cell): 0.000
# Offset from the most stable computed form (meV per atom): 84

[10]
# RbPSe3 (SCAN, single point on PBEsol structure)
data_RbPSe3
_chemical_formula_sum 'Rb6 P6 Se18'
_symmetry_space_group_name_H-M 'P 1'
_symmetry_Int_Tables_number 1
_symmetry_space_group_name_Hall 'P 1'
_cell_length_a 7.3219
_cell_length_b 7.3219
_cell_length_c 19.1467
_cell_angle_alpha 90.00
_cell_angle_beta 90.00
_cell_angle_gamma 120.00
loop_
_atom_site_label
_atom_site_type_symbol
_atom_site_fract_x
_atom_site_fract_y
_atom_site_fract_z
_atom_site_occupancy
P1 P 0.8913 0.9251 0.9467 1
P2 P 0.0338 0.1087 0.6134 1
P3 P 0.0749 0.9662 0.2801 1
P4 P 0.9662 0.0749 0.0533 1
P5 P 0.9251 0.8913 0.3866 1
P6 P 0.1087 0.0338 0.7199 1
Rb1 Rb 0.4238 0.6897 0.7513 1
Rb2 Rb 0.2659 0.5762 0.4180 1
Rb3 Rb 0.3103 0.7341 0.0847 1
Rb4 Rb 0.7341 0.3103 0.2487 1
Rb5 Rb 0.6897 0.4238 0.5820 1
Rb6 Rb 0.5762 0.2659 0.9153 1
Se1 Se 0.9146 0.1657 0.7789 1
Se2 Se 0.2511 0.0854 0.4456 1
Se3 Se 0.8343 0.7489 0.1123 1
Se4 Se 0.7489 0.8343 0.2211 1
Se5 Se 0.1657 0.9146 0.5544 1
Se6 Se 0.0854 0.2511 0.8877 1
Se7 Se 0.6969 0.9607 0.6073 1
Se8 Se 0.2638 0.3031 0.2740 1
Se9 Se 0.0393 0.7362 0.9407 1
Se10 Se 0.7362 0.0393 0.3927 1
Se11 Se 0.9607 0.6969 0.7260 1
Se12 Se 0.3031 0.2638 0.0593 1
Se13 Se 0.5608 0.7785 0.9239 1
Se14 Se 0.2177 0.4392 0.5906 1
Se15 Se 0.2215 0.7823 0.2573 1
Se16 Se 0.7823 0.2215 0.0761 1
Se17 Se 0.7785 0.5608 0.4094 1
Se18 Se 0.4392 0.2177 0.7427 1
# E (eV/atom): -18.912
# Total magnetic moment (μB/cell): 0.000

[11]
# CaMoIr2 (SCAN, single point on PBEsol structure)
data_CaMoIr2
_chemical_formula_sum 'Ca1 Mo1 Ir2'
_symmetry_space_group_name_H-M 'P 1'
_symmetry_Int_Tables_number 1
_symmetry_space_group_name_Hall 'P 1'
_cell_length_a 2.7601
_cell_length_b 4.6510
_cell_length_c 5.8255
_cell_angle_alpha 97.12
_cell_angle_beta 90.00
_cell_angle_gamma 107.26
loop_
_atom_site_label
_atom_site_type_symbol
_atom_site_fract_x
_atom_site_fract_y
_atom_site_fract_z
_atom_site_occupancy
Mo1 Mo 0.0000 0.0000 0.5000 1
Ir1 Ir 0.7427 0.4853 0.6870 1
Ir2 Ir 0.2573 0.5147 0.3130 1
Ca1 Ca 0.5000 0.0000 0.0000 1
# Calculated formation energy (kJ/mol of atoms): 15.9
# E (eV/atom): -46.522
# Total magnetic moment (μB/cell): 0.002
# Offset from the most stable computed form (meV per atom): 138

[12]
# HgTeIr2 (SCAN, single point on PBEsol structure)
data_HgTeIr2
_chemical_formula_sum 'Hg1 Te1 Ir2'
_symmetry_space_group_name_H-M 'P 1'
_symmetry_Int_Tables_number 1
_symmetry_space_group_name_Hall 'P 1'
_cell_length_a 3.6424
_cell_length_b 4.3751
_cell_length_c 4.3751
_cell_angle_alpha 90.00
_cell_angle_beta 90.00
_cell_angle_gamma 90.00
loop_
_atom_site_label
_atom_site_type_symbol
_atom_site_fract_x
_atom_site_fract_y
_atom_site_fract_z
_atom_site_occupancy
Hg1 Hg 0.5000 0.0000 0.0000 1
Ir1 Ir 0.0000 0.0000 0.5000 1
Ir2 Ir 0.0000 0.5000 0.0000 1
Te1 Te 0.5000 0.5000 0.5000 1
# E (eV/atom): -61.213
# Total magnetic moment (μB/cell): 0.000
# Offset from the most stable computed form (meV per atom): 189